Here is BaPuHg2O6 after structural relaxation from Alexandria via LeMat-Bulk. Energies are from PBE.

Properties
**Crystal system**: triclinic
**Raw formation energy**: -1.700 eV/atom
**Fermi-level density of states**: 0.1839 states/eV/atom
**DFT total energy**: -6.361 eV per atom
**Total magnetic moment**: 2.00 μB per formula unit

Lattice parameters (Å, degrees): 6.231 5.843 6.856 62.33 63.52 61.17
Site moments in Bohr magnetons follow the coordinates.
Fractional positions:
O 0.201 0.030 0.285  -0.10
O 0.507 0.276 0.274  -0.06
O 0.968 0.630 0.208  -0.04
O 0.431 0.602 0.818  -0.10
O 0.664 0.002 0.895  -0.04
O 0.125 0.357 0.829  -0.06
Ba 0.816 0.816 0.552  -0.01
Hg 0.677 0.541 0.212  0.01
Hg 0.956 0.091 0.891  0.01
Pu 0.316 0.316 0.052  2.42